(1)
The following is a DFT calculation (PBE) of Ac2NdCu after structural relaxation.

- V: 142 Å³/cell
- Energy relative to the elements: 0.07 eV per atom
- Energy above the most stable polymorph in this dataset: 89.9 meV/atom
- E_tot: -4.200 eV/atom

Cell lengths 10.5749, 10.5749, 10.5749 Å; angles 21.75, 21.75, 21.75 degrees
Element x y z (fractional)
Ac (0.0000, 0.0000, 0.0000)
Ac (0.1979, 0.1979, 0.1979)
Nd (0.4315, 0.4315, 0.4315)
Cu (0.5994, 0.5994, 0.5994)


(2)
The following is a DFT calculation (PBE) of Ac2NdCu2 after structural relaxation.

- V: 315 Å³/cell
- Energy relative to the elements: 0.10 eV per atom
- Energy above the most stable polymorph in this dataset: 148.1 meV/atom
- E_tot: -4.131 eV/atom

Cell lengths 8.4126, 8.4126, 6.0504 Å; angles 90.00, 90.00, 132.58 degrees
Element x y z (fractional)
Ac (0.0853, 0.9147, 0.7500)
Ac (0.2808, 0.7192, 0.2500)
Ac (0.7192, 0.2808, 0.7500)
Ac (0.9147, 0.0853, 0.2500)
Nd (0.5000, 0.5000, 0.0000)
Nd (0.5000, 0.5000, 0.5000)
Cu (0.0884, 0.3027, 0.7500)
Cu (0.3027, 0.0884, 0.2500)
Cu (0.6973, 0.9116, 0.7500)
Cu (0.9116, 0.6973, 0.2500)


(3)
The following is a DFT calculation (PBE) of Ac2NdCu after structural relaxation.

- V: 141 Å³/cell
- Energy relative to the elements: 0.06 eV per atom
- Energy above the most stable polymorph in this dataset: 74.8 meV/atom
- E_tot: -4.215 eV/atom

Cell lengths 10.6544, 10.6544, 10.6544 Å; angles 21.43, 21.43, 21.43 degrees
Element x y z (fractional)
Ac (0.2347, 0.2347, 0.2347)
Ac (0.7653, 0.7653, 0.7653)
Nd (0.0000, 0.0000, 0.0000)
Cu (0.5000, 0.5000, 0.5000)


(4)
The following is a DFT calculation (PBE) of AcNd3Cu after structural relaxation.

- V: 179 Å³/cell
- Energy relative to the elements: 0.07 eV per atom
- E_tot: -4.427 eV/atom

Cell lengths 5.6339, 5.6339, 5.6339 Å; angles 90.00, 90.00, 90.00 degrees
Element x y z (fractional)
Ac (0.0000, 0.0000, 0.0000)
Nd (0.0000, 0.5000, 0.5000)
Nd (0.5000, 0.0000, 0.5000)
Nd (0.5000, 0.5000, 0.0000)
Cu (0.5000, 0.5000, 0.5000)